(1)
## V2PdBr8 (PBE)

Data for an optimized crystal structure of V2PdBr8.

Output
DFT total energy = -3.98 eV/atom
formation energy (no corrections) = -0.6299 eV per atom
theoretical density = 3.51 g cm⁻³
space group = C2/m
D(E_F) = 13.0 states/eV/f.u.
volume = 36.485 Å³ per atom

a b c (Å): 6.5426 7.9811 7.9811
angles (deg): 74.84 93.06 93.06
Fractional coordinates of all 11 atoms:
Br 0.3273 0.8411 0.8411
V 0.6775 0.8221 0.8221
Br 0.2771 0.3573 0.3573
Br 0.1934 0.9023 0.3200
Br 0.6727 0.1589 0.1589
Br 0.1934 0.3200 0.9023
Br 0.8066 0.6800 0.0977
Br 0.8066 0.0977 0.6800
Pd 0.0000 0.0000 0.0000
V 0.3225 0.1779 0.1779
Br 0.7229 0.6427 0.6427

=====

(2)
## V2PdBr (PBE)

Data for an optimized crystal structure of V2PdBr.

Output
DFT total energy = -5.83 eV/atom
formation energy (no corrections) = 0.4503 eV per atom
theoretical density = 7.89 g cm⁻³
space group = Fm-3m
energy relative to the lowest polymorph listed for this composition = 0.0000 eV per atom
D(E_F) = 5.5 states/eV/f.u.
volume = 15.163 Å³ per atom

a b c (Å): 4.4102 4.4102 4.4102
angles (deg): 60.00 60.00 60.00
Fractional coordinates of all 4 atoms:
V 0.2500 0.2500 0.2500
Pd 0.5000 0.5000 0.5000
V 0.7500 0.7500 0.7500
Br 0.0000 0.0000 0.0000